No. 1
Computed, not measured: a geometry-optimized KVCuBr6 structure at the PBE level of DFT.

Cell lengths 6.613, 6.899, 7.244 Å; angles 88.33, 86.31, 61.50 degrees
Element x y z (fractional)
K (0.000, 0.000, 0.000)
V (0.665, 0.669, 0.500)
Cu (0.341, 0.317, 0.500)
Br (0.004, 0.365, 0.690)
Br (0.378, 0.963, 0.310)
Br (0.401, 0.607, 0.723)
Br (0.629, 0.365, 0.309)
Br (0.658, 0.962, 0.692)
Br (0.988, 0.608, 0.276)

Results
Uncorrected formation energy, eV/atom: -0.85
Spin magnetization, μB per formula unit: 1.0

No. 2
Computed, not measured: a geometry-optimized Cr2CuSi structure at the PBE level of DFT.

Cell lengths 4.374, 4.374, 4.519 Å; angles 96.85, 96.85, 33.48 degrees
Element x y z (fractional)
Cr (0.000, 0.000, 0.000)
Cr (0.240, 0.240, 0.769)
Cu (0.751, 0.751, 0.271)
Si (0.498, 0.498, 0.500)

Results
Uncorrected formation energy, eV/atom: 0.07
Spin magnetization, μB per formula unit: 0.2

No. 3
Computed, not measured: a geometry-optimized YTi2Te2 structure at the PBE level of DFT.

Cell lengths 5.622, 5.622, 5.622 Å; angles 124.37, 124.37, 82.58 degrees
Element x y z (fractional)
Y (0.000, 0.000, 0.000)
Ti (0.378, 0.378, 0.000)
Ti (0.622, 0.622, 0.000)
Te (0.250, 0.750, 0.500)
Te (0.750, 0.250, 0.500)

Results
Uncorrected formation energy, eV/atom: -0.46
Energy above the most stable polymorph in this dataset, eV/atom: 0.0000
Spin magnetization, μB per formula unit: 0.0

No. 4
Computed, not measured: a geometry-optimized RbCr2H structure at the PBE level of DFT.

Cell lengths 6.259, 6.259, 6.259 Å; angles 60.00, 60.00, 60.00 degrees
Element x y z (fractional)
Rb (0.125, 0.125, 0.125)
Rb (0.875, 0.875, 0.875)
Cr (0.000, 0.500, 0.500)
Cr (0.500, 0.000, 0.500)
Cr (0.500, 0.500, 0.000)
Cr (0.500, 0.500, 0.500)
H (0.375, 0.375, 0.375)
H (0.625, 0.625, 0.625)

Results
Energy above the most stable polymorph in this dataset, eV/atom: 0.0000
Spin magnetization, μB per formula unit: 8.2

No. 5
Computed, not measured: a geometry-optimized TlReP2Cl structure at the PBE level of DFT.

Cell lengths 4.589, 4.589, 5.486 Å; angles 90.00, 90.00, 90.00 degrees
Element x y z (fractional)
Tl (0.000, 0.000, 0.000)
Re (0.500, 0.500, 0.500)
P (0.000, 0.500, 0.500)
P (0.500, 0.000, 0.500)
Cl (0.500, 0.500, 0.000)

Results
Uncorrected formation energy, eV/atom: 0.13
Energy above the most stable polymorph in this dataset, eV/atom: 0.0000
Spin magnetization, μB per formula unit: 0.0

No. 6
Computed, not measured: a geometry-optimized Rb3In2Sn5 structure at the PBE level of DFT.

Cell lengths 10.771, 10.771, 10.771 Å; angles 116.37, 80.09, 136.72 degrees
Element x y z (fractional)
Rb (0.130, 0.740, 0.870)
Rb (0.250, 0.250, 0.000)
Rb (0.370, 0.240, 0.610)
Rb (0.630, 0.760, 0.390)
Rb (0.750, 0.750, 0.000)
Rb (0.870, 0.260, 0.130)
In (0.157, 0.130, 0.286)
In (0.343, 0.630, 0.973)
In (0.657, 0.370, 0.027)
In (0.843, 0.870, 0.714)
Sn (0.006, 0.750, 0.256)
Sn (0.124, 0.387, 0.511)
Sn (0.250, 0.750, 0.500)
Sn (0.376, 0.887, 0.262)
Sn (0.494, 0.750, 0.744)
Sn (0.506, 0.250, 0.256)
Sn (0.624, 0.113, 0.738)
Sn (0.750, 0.250, 0.500)
Sn (0.876, 0.613, 0.489)
Sn (0.994, 0.250, 0.744)

Results
Energy of formation, kJ/mol of atoms: -7
Spin magnetization, μB per formula unit: 0.0

No. 7
Computed, not measured: a geometry-optimized Te2PbCl structure at the PBE level of DFT.

Cell lengths 5.427, 5.427, 5.427 Å; angles 119.77, 119.77, 90.40 degrees
Element x y z (fractional)
Te (0.000, 0.000, 0.000)
Te (0.750, 0.250, 0.500)
Pb (0.500, 0.500, 0.000)
Cl (0.250, 0.750, 0.500)

Results
Uncorrected formation energy, eV/atom: -0.12
Energy above the most stable polymorph in this dataset, eV/atom: 0.2770
Spin magnetization, μB per formula unit: 0.0

No. 8
Computed, not measured: a geometry-optimized LiTl2GaBr6 structure at the PBE level of DFT.

Cell lengths 7.448, 7.448, 6.588 Å; angles 90.00, 90.00, 120.00 degrees
Element x y z (fractional)
Li (0.000, 0.000, 0.000)
Tl (0.333, 0.667, 0.659)
Tl (0.667, 0.333, 0.341)
Ga (0.000, 0.000, 0.500)
Br (0.161, 0.322, 0.270)
Br (0.161, 0.839, 0.270)
Br (0.322, 0.161, 0.730)
Br (0.678, 0.839, 0.270)
Br (0.839, 0.161, 0.730)
Br (0.839, 0.678, 0.730)

Results
Uncorrected formation energy, eV/atom: -0.94
Spin magnetization, μB per formula unit: 0.0

No. 9
Computed, not measured: a geometry-optimized La2CrCl structure at the PBE level of DFT.

Cell lengths 7.020, 7.020, 7.020 Å; angles 145.27, 145.27, 49.93 degrees
Element x y z (fractional)
La (0.000, 0.000, 0.000)
La (0.750, 0.250, 0.500)
Cr (0.500, 0.500, 0.000)
Cl (0.250, 0.750, 0.500)

Results
Uncorrected formation energy, eV/atom: -0.17
Energy above the most stable polymorph in this dataset, eV/atom: 0.2868
Spin magnetization, μB per formula unit: 3.8

No. 10
Computed, not measured: a geometry-optimized DyCr6Ge6 structure at the PBE level of DFT.

Cell lengths 5.105, 5.105, 8.303 Å; angles 90.00, 90.00, 120.00 degrees
Element x y z (fractional)
Dy (0.000, 0.000, 0.000)
Cr (0.000, 0.500, 0.250)
Cr (0.000, 0.500, 0.750)
Cr (0.500, 0.000, 0.250)
Cr (0.500, 0.000, 0.750)
Cr (0.500, 0.500, 0.250)
Cr (0.500, 0.500, 0.750)
Ge (0.000, 0.000, 0.346)
Ge (0.000, 0.000, 0.654)
Ge (0.333, 0.667, 0.000)
Ge (0.333, 0.667, 0.500)
Ge (0.667, 0.333, 0.000)
Ge (0.667, 0.333, 0.500)

Results
Energy of formation, kJ/mol of atoms: -20
Spin magnetization, μB per formula unit: 0.0

No. 11
Computed, not measured: a geometry-optimized NaInBi3 structure at the PBE level of DFT.

Cell lengths 5.596, 5.596, 5.596 Å; angles 90.00, 90.00, 90.00 degrees
Element x y z (fractional)
Na (0.000, 0.000, 0.000)
In (0.500, 0.500, 0.500)
Bi (0.000, 0.000, 0.500)
Bi (0.000, 0.500, 0.000)
Bi (0.500, 0.000, 0.000)

Results
Energy above the most stable polymorph in this dataset, eV/atom: 0.5951
Energy of formation, kJ/mol of atoms: 51
Spin magnetization, μB per formula unit: 0.0

No. 12
Computed, not measured: a geometry-optimized Li2PuIrO5 structure at the PBE level of DFT.

Cell lengths 4.022, 4.022, 6.517 Å; angles 90.00, 90.00, 90.00 degrees
Element x y z (fractional)
Li (0.000, 0.500, 0.000)
Li (0.500, 0.000, 0.000)
Pu (0.000, 0.000, 0.500)
Ir (0.500, 0.500, 0.500)
O (0.000, 0.500, 0.319)
O (0.000, 0.500, 0.681)
O (0.500, 0.000, 0.319)
O (0.500, 0.000, 0.681)
O (0.500, 0.500, 0.000)

Results
Uncorrected formation energy, eV/atom: -1.26
Spin magnetization, μB per formula unit: 4.7

No. 13
Computed, not measured: a geometry-optimized BiMoS2N structure at the PBE level of DFT.

Cell lengths 4.936, 4.936, 3.810 Å; angles 90.00, 90.00, 90.00 degrees
Element x y z (fractional)
Bi (0.000, 0.000, 0.000)
Mo (0.500, 0.500, 0.500)
S (0.000, 0.500, 0.500)
S (0.500, 0.000, 0.500)
N (0.500, 0.500, 0.000)

Results
Uncorrected formation energy, eV/atom: 0.04
Energy above the most stable polymorph in this dataset, eV/atom: 0.0000
Spin magnetization, μB per formula unit: 0.0

No. 14
Computed, not measured: a geometry-optimized Tl2Cu3I8 structure at the PBE level of DFT.

Cell lengths 9.034, 9.034, 7.416 Å; angles 104.92, 104.92, 61.39 degrees
Element x y z (fractional)
Tl (0.245, 0.245, 0.072)
Tl (0.755, 0.755, 0.928)
Cu (0.000, 0.000, 0.500)
Cu (0.335, 0.665, 0.000)
Cu (0.665, 0.335, 0.000)
I (0.138, 0.690, 0.214)
I (0.147, 0.147, 0.407)
I (0.310, 0.862, 0.786)
I (0.379, 0.379, 0.768)
I (0.621, 0.621, 0.232)
I (0.690, 0.138, 0.214)
I (0.853, 0.853, 0.593)
I (0.862, 0.310, 0.786)

Results
Uncorrected formation energy, eV/atom: -0.22
Spin magnetization, μB per formula unit: 0.0

No. 15
Computed, not measured: a geometry-optimized ZnSi2S2 structure at the PBE level of DFT.

Cell lengths 7.773, 7.773, 3.377 Å; angles 90.00, 90.00, 90.00 degrees
Element x y z (fractional)
Zn (0.000, 0.000, 0.000)
Zn (0.500, 0.500, 0.000)
Si (0.227, 0.273, 0.000)
Si (0.273, 0.773, 0.000)
Si (0.727, 0.227, 0.000)
Si (0.773, 0.727, 0.000)
S (0.142, 0.642, 0.500)
S (0.358, 0.142, 0.500)
S (0.642, 0.858, 0.500)
S (0.858, 0.358, 0.500)

Results
Uncorrected formation energy, eV/atom: 0.17
Energy above the most stable polymorph in this dataset, eV/atom: 0.0539
Spin magnetization, μB per formula unit: 0.0

No. 16
Computed, not measured: a geometry-optimized SiSO2 structure at the PBE level of DFT.

Cell lengths 3.933, 3.933, 3.933 Å; angles 60.00, 60.00, 60.00 degrees
Element x y z (fractional)
Si (0.000, 0.000, 0.000)
S (0.500, 0.500, 0.500)
O (0.250, 0.250, 0.250)
O (0.750, 0.750, 0.750)

Results
Uncorrected formation energy, eV/atom: 0.65
Energy above the most stable polymorph in this dataset, eV/atom: 2.1973
Spin magnetization, μB per formula unit: 0.0

No. 17
Computed, not measured: a geometry-optimized SmAl3Au structure at the PBE level of DFT.

Cell lengths 8.463, 4.297, 11.060 Å; angles 90.00, 90.00, 90.00 degrees
Element x y z (fractional)
Sm (0.184, 0.250, 0.009)
Sm (0.316, 0.750, 0.509)
Sm (0.684, 0.250, 0.491)
Sm (0.816, 0.750, 0.991)
Al (0.073, 0.250, 0.596)
Al (0.109, 0.750, 0.805)
Al (0.134, 0.750, 0.211)
Al (0.366, 0.250, 0.711)
Al (0.391, 0.250, 0.305)
Al (0.427, 0.750, 0.096)
Al (0.573, 0.250, 0.904)
Al (0.609, 0.750, 0.695)
Al (0.634, 0.750, 0.289)
Al (0.866, 0.250, 0.789)
Al (0.891, 0.250, 0.195)
Al (0.927, 0.750, 0.404)
Au (0.098, 0.250, 0.360)
Au (0.402, 0.750, 0.860)
Au (0.598, 0.250, 0.140)
Au (0.902, 0.750, 0.640)

Results
Energy above the most stable polymorph in this dataset, eV/atom: 0.0946
Energy of formation, kJ/mol of atoms: -50
Spin magnetization, μB per formula unit: 0.0

No. 18
Computed, not measured: a geometry-optimized PrY2Er5Th structure at the PBE level of DFT.

Cell lengths 9.754, 9.754, 9.754 Å; angles 126.75, 126.75, 78.65 degrees
Element x y z (fractional)
Pr (0.250, 0.750, 0.500)
Pr (0.750, 0.250, 0.500)
Y (0.116, 0.616, 0.731)
Y (0.384, 0.116, 0.500)
Y (0.616, 0.884, 0.500)
Y (0.884, 0.384, 0.269)
Er (0.000, 0.000, 0.000)
Er (0.071, 0.154, 0.500)
Er (0.154, 0.654, 0.082)
Er (0.346, 0.429, 0.500)
Er (0.429, 0.929, 0.082)
Er (0.500, 0.500, 0.000)
Er (0.571, 0.071, 0.918)
Er (0.654, 0.571, 0.500)
Er (0.846, 0.346, 0.918)
Er (0.929, 0.846, 0.500)
Th (0.250, 0.250, 0.000)
Th (0.750, 0.750, 0.000)

Results
Energy of formation, kJ/mol of atoms: 31
Spin magnetization, μB per formula unit: 0.0

No. 19
Computed, not measured: a geometry-optimized Cs2MgBiRh structure at the PBE level of DFT.

Cell lengths 7.114, 7.114, 4.777 Å; angles 90.00, 90.00, 90.00 degrees
Element x y z (fractional)
Cs (0.000, 0.500, 0.000)
Cs (0.500, 0.000, 0.000)
Mg (0.000, 0.000, 0.000)
Bi (0.500, 0.500, 0.500)
Rh (0.000, 0.000, 0.500)

Results
Energy of formation, kJ/mol of atoms: 56
Spin magnetization, μB per formula unit: 1.4

No. 20
Computed, not measured: a geometry-optimized SrZnNF2 structure at the PBE level of DFT.

Cell lengths 4.268, 4.268, 3.908 Å; angles 90.00, 90.00, 90.00 degrees
Element x y z (fractional)
Sr (0.000, 0.000, 0.000)
Zn (0.500, 0.500, 0.500)
N (0.500, 0.500, 0.000)
F (0.000, 0.500, 0.500)
F (0.500, 0.000, 0.500)

Results
Uncorrected formation energy, eV/atom: -1.62
Energy above the most stable polymorph in this dataset, eV/atom: 0.0000
Spin magnetization, μB per formula unit: 1.0

No. 21
Computed, not measured: a geometry-optimized Rb2MnAg2 structure at the PBE level of DFT.

Cell lengths 10.403, 10.403, 3.238 Å; angles 90.00, 90.00, 90.00 degrees
Element x y z (fractional)
Rb (0.192, 0.308, 0.000)
Rb (0.308, 0.808, 0.000)
Rb (0.692, 0.192, 0.000)
Rb (0.808, 0.692, 0.000)
Mn (0.000, 0.000, 0.000)
Mn (0.500, 0.500, 0.000)
Ag (0.097, 0.597, 0.500)
Ag (0.403, 0.097, 0.500)
Ag (0.597, 0.903, 0.500)
Ag (0.903, 0.403, 0.500)

Results
Energy above the most stable polymorph in this dataset, eV/atom: 0.1421
Energy of formation, kJ/mol of atoms: 70
Spin magnetization, μB per formula unit: 4.6

No. 22
Computed, not measured: a geometry-optimized ZnReSi structure at the PBE level of DFT.

Cell lengths 4.141, 4.141, 4.141 Å; angles 60.00, 60.00, 60.00 degrees
Element x y z (fractional)
Zn (0.000, 0.000, 0.000)
Re (0.250, 0.250, 0.250)
Si (0.500, 0.500, 0.500)

Results
Uncorrected formation energy, eV/atom: 0.46
Energy above the most stable polymorph in this dataset, eV/atom: 0.4151
Spin magnetization, μB per formula unit: 0.6

No. 23
Computed, not measured: a geometry-optimized NdScCd5 structure at the PBE level of DFT.

Cell lengths 5.081, 5.081, 6.873 Å; angles 90.00, 90.00, 90.00 degrees
Element x y z (fractional)
Nd (0.000, 0.000, 0.000)
Sc (0.500, 0.500, 0.500)
Cd (0.000, 0.500, 0.282)
Cd (0.000, 0.500, 0.718)
Cd (0.500, 0.000, 0.282)
Cd (0.500, 0.000, 0.718)
Cd (0.500, 0.500, 0.000)

Results
Energy of formation, kJ/mol of atoms: -11
Spin magnetization, μB per formula unit: 0.0

In the order shown, the computed density of states at the Fermi level values come out to 0.682, 0.877, 0.957, 1.185, 0.359, 0.519, 0.909, 0.000, 1.311, 0.903, 0.752, 0.680, 0.697, 1.055, 0.689, 0.849, 0.283, 1.320, 0.949, 0.495, 0.590, 1.118, 0.643 states/eV per atom.